The following is a DFT calculation (PBE-GGA) of a relaxed MgRe2AuBr crystal.

Lattice parameters (Å, degrees): 4.9846 4.8365 4.9846 90.00 90.00 90.00
Element x y z (fractional)
Re1 0.0000 0.0000 0.5000
Re2 0.5000 0.0000 0.0000
Mg1 0.0000 0.0000 0.0000
Au1 0.5000 0.5000 0.5000
Br1 0.0000 0.5000 0.0000

Output
**Raw formation energy**: 2.2795 eV per atom


The following is a DFT calculation (PBE-GGA) of a relaxed Tl4BiSb crystal.

Lattice parameters (Å, degrees): 10.6080 10.6080 10.6080 60.00 60.00 60.00
Element x y z (fractional)
Tl1 0.3970 0.3970 0.3970
Tl2 0.8091 0.3970 0.3970
Tl3 0.3970 0.8091 0.3970
Tl4 0.3970 0.3970 0.8091
Tl5 0.5262 0.5262 0.9738
Tl6 0.9738 0.9738 0.5262
Tl7 0.5262 0.9738 0.5262
Tl8 0.9738 0.5262 0.9738
Tl9 0.9738 0.5262 0.5262
Tl10 0.5262 0.9738 0.9738
Tl11 0.2125 0.2125 0.7875
Tl12 0.7875 0.7875 0.2125
Tl13 0.2125 0.7875 0.2125
Tl14 0.7875 0.2125 0.7875
Tl15 0.7875 0.2125 0.2125
Tl16 0.2125 0.7875 0.7875
Bi1 0.1661 0.1661 0.1661
Bi2 0.5017 0.1661 0.1661
Bi3 0.1661 0.5017 0.1661
Bi4 0.1661 0.1661 0.5017
Sb1 0.6152 0.6152 0.6152
Sb2 0.1545 0.6152 0.6152
Sb3 0.6152 0.1545 0.6152
Sb4 0.6152 0.6152 0.1545

Output
**Raw formation energy**: 0.0406 eV per atom
**Distance to the lowest polymorph of the same formula**: 0.0174 eV/atom


The following is a DFT calculation (PBE-GGA) of a relaxed Ni2SbW crystal.

Lattice parameters (Å, degrees): 4.4676 4.4676 4.8515 79.21 79.21 39.11
Element x y z (fractional)
Ni1 0.0008 0.0008 0.9974
Ni2 0.7456 0.7456 0.7692
Sb1 0.4954 0.4954 0.5344
W1 0.2583 0.2583 0.1990

Output
**Raw formation energy**: 0.2364 eV per atom


The following is a DFT calculation (PBE-GGA) of a relaxed La3Ho5Er3 crystal.

Lattice parameters (Å, degrees): 5.3074 9.6623 9.6623 120.00 90.00 90.00
Element x y z (fractional)
La1 0.5000 0.6397 0.6397
La2 0.5000 0.0000 0.3603
La3 0.5000 0.3603 0.0000
Ho1 0.5000 0.3333 0.6667
Ho2 0.5000 0.6667 0.3333
Ho3 0.5000 0.2721 0.2721
Ho4 0.5000 0.0000 0.7279
Ho5 0.5000 0.7279 0.0000
Er1 0.0000 0.4743 0.4743
Er2 0.0000 0.5257 0.0000
Er3 0.0000 0.0000 0.5257

Output
**ΔE_f**: 0.7958 eV per atom


The following is a DFT calculation (PBE-GGA) of a relaxed GeOsO2F crystal.

Lattice parameters (Å, degrees): 3.6777 3.6777 6.5570 90.00 90.00 90.00
Element x y z (fractional)
Ge1 0.5000 0.5000 0.5000
Os1 0.0000 0.0000 0.0000
O1 0.0000 0.5000 0.0000
O2 0.5000 0.0000 0.0000
F1 0.0000 0.0000 0.5000

Output
**Raw formation energy**: -0.5892 eV per atom


The following is a DFT calculation (PBE-GGA) of a relaxed K2LiTa crystal.

Lattice parameters (Å, degrees): 9.5593 9.5593 7.4941 50.37 50.37 90.00
Element x y z (fractional)
K1 0.5970 0.1250 0.2500
K2 0.1530 0.6250 0.2500
K3 0.3750 0.4030 0.7500
K4 0.8750 0.8470 0.7500
Li1 0.5000 0.5000 0.0000
Li2 0.2500 0.7500 0.5000
Ta1 0.0000 0.0000 0.0000
Ta2 0.7500 0.2500 0.5000

Output
**ΔE_f**: 1.5118 eV per atom
**Distance to the lowest polymorph of the same formula**: 0.5746 eV/atom


The following is a DFT calculation (PBE-GGA) of a relaxed Mg3AlAg12 crystal.

Lattice parameters (Å, degrees): 4.1145 4.1145 16.8209 90.00 90.00 90.00
Element x y z (fractional)
Mg1 0.0000 0.0000 0.2462
Mg2 0.0000 0.0000 0.5000
Mg3 0.0000 0.0000 0.7538
Al1 0.0000 0.0000 0.0000
Ag1 0.5000 0.5000 0.0000
Ag2 0.5000 0.5000 0.2464
Ag3 0.5000 0.5000 0.5000
Ag4 0.5000 0.5000 0.7536
Ag5 0.5000 0.0000 0.1205
Ag6 0.5000 0.0000 0.3731
Ag7 0.5000 0.0000 0.6269
Ag8 0.5000 0.0000 0.8795
Ag9 0.0000 0.5000 0.1205
Ag10 0.0000 0.5000 0.3731
Ag11 0.0000 0.5000 0.6269
Ag12 0.0000 0.5000 0.8795

Output
**ΔE_f**: -0.1164 eV per atom


The following is a DFT calculation (PBE-GGA) of a relaxed Tb5Tm2Ge4 crystal.

Lattice parameters (Å, degrees): 3.7552 7.9648 10.7815 96.50 100.03 90.00
Element x y z (fractional)
Tb1 0.1603 0.9729 0.3206
Tb2 0.8397 0.0271 0.6794
Tb3 0.1028 0.4235 0.2055
Tb4 0.5000 0.0000 0.0000
Tb5 0.8972 0.5765 0.7945
Tm1 0.7331 0.6657 0.4662
Tm2 0.2669 0.3343 0.5338
Ge1 0.6037 0.7119 0.2074
Ge2 0.0258 0.7305 0.0515
Ge3 0.3963 0.2881 0.7926
Ge4 0.9742 0.2695 0.9485

Output
**ΔE_f**: -0.2708 eV per atom


| no. | total moment (μB per formula unit) | E_tot (eV/cell) | density of states at the Fermi level (states/eV per cell) |
| --- | --- | --- | --- |
| 1 | 6.75 | -20.04 | 3.4 |
| 2 | 0.00 | -68.90 | 11.6 |
| 3 | 0.00 | -27.69 | 3.0 |
| 4 | 0.00 | -42.61 | 13.1 |
| 5 | 0.00 | -30.58 | 4.9 |
| 6 | 4.27 | -19.83 | 8.9 |
| 7 | 0.00 | -44.60 | 4.7 |
| 8 | 0.00 | -53.54 | 10.6 |